## Sm6GaPb2 (PBE)

Data for an optimized crystal structure of Sm6GaPb2.

Unit cell a=8.5115 b=8.5115 c=4.4212 alpha=90.00 beta=90.00 gamma=120.00
Space group P-62m (No. 189)
Unique sites:
Sm 0.0000 0.2461 0.0000 (multiplicity 3)
Sm 0.0000 0.5951 0.5000 (multiplicity 3)
Ga 0.0000 0.0000 0.5000 (multiplicity 1)
Pb 0.3333 0.6667 0.0000 (multiplicity 2)

Calculated values
Formation energy from the elements, meV/atom: -432.3
DOS(E_F), states/eV/f.u.: 6.772

***

## Gd2TiTl (PBE)

Data for an optimized crystal structure of Gd2TiTl.

Unit cell a=7.533 b=7.533 c=7.533 alpha=90.00 beta=90.00 gamma=90.00
Space group Fm-3m (No. 225)
Unique sites:
Gd 0.250 0.250 0.250 (multiplicity 8)
Ti 0.000 0.000 0.000 (multiplicity 4)
Tl 0.000 0.000 0.500 (multiplicity 4)

Calculated values
Energy above the most stable polymorph in this dataset, meV per atom: 16
Formation energy from the elements, meV/atom: -14.4
DOS(E_F), states/eV/f.u.: 4.598